1.
Density functional theory data (PBE-GGA) for crystalline CaLuCuPt at its relaxed geometry.

Summary:
DFT formation energy: -0.6490 eV/atom

```
CaLuCuPt
1.0
4.8757 0.0000 0.0000
2.4378 4.2225 0.0000
2.4378 1.4075 3.9810
Ca Cu Lu Pt
1 1 1 1
Direct
0.2500 0.2500 0.2500
0.0000 0.0000 0.0000
0.7500 0.7500 0.7500
0.5000 0.5000 0.5000
```

---

2.
Density functional theory data (PBE-GGA) for crystalline CaLuCuSi at its relaxed geometry.

Summary:
Formation energy without anion corrections: -0.34 eV per atom

```
CaLuCuSi
1.0
4.9104 0.0000 0.0000
2.4552 4.2525 0.0000
2.4552 1.4175 4.0093
Si Cu Lu Ca
1 1 1 1
Direct
0.7500 0.7500 0.7500
0.2500 0.2500 0.2500
0.0000 0.0000 0.0000
0.5000 0.5000 0.5000
```

---

Size of the total moment / μB per cell: 0.00, 0.00
Density / kg/m³: 9597, 6083